BaSb6Rh12: optimized geometry, GGA-PBE.

Calculated values
Total moment = 0.0 μB per formula unit
VASP energy = -120.7 eV/f.u.
Energy relative to the elements, uncorrected = -0.31 eV/atom
Space-group type = R-3m, No. 166

Cell: 7.5285 7.5285 7.5285 Å, 106.18 106.18 106.18°
With the nearest neighbours (Å) after each atom.
Positions (direct):
Ba 0.0000 0.0000 0.0000  6 Rh 3.37
Sb 0.2602 0.2602 0.6990  7 Rh 2.55-2.71
Sb 0.2602 0.6990 0.2602  7 Rh 2.55-2.71
Sb 0.3010 0.7398 0.7398  7 Rh 2.55-2.71
Sb 0.6990 0.2602 0.2602  7 Rh 2.55-2.71
Sb 0.7398 0.3010 0.7398  7 Rh 2.55-2.71
Sb 0.7398 0.7398 0.3010  7 Rh 2.55-2.71
Rh 0.1243 0.5000 0.8757  4 Sb 2.55-2.60
Rh 0.1243 0.8757 0.5000  4 Sb 2.55-2.60
Rh 0.1801 0.4183 0.4182  3 Sb 2.61-2.71, 2 Rh 2.87
Rh 0.4182 0.1801 0.4182  3 Sb 2.61-2.71, 2 Rh 2.87
Rh 0.4182 0.4182 0.1801  3 Sb 2.61-2.71, 2 Rh 2.87
Rh 0.5000 0.1243 0.8757  4 Sb 2.55-2.60
Rh 0.5000 0.8757 0.1243  4 Sb 2.55-2.60
Rh 0.5818 0.5818 0.8199  3 Sb 2.61-2.71, 2 Rh 2.87
Rh 0.5818 0.8199 0.5818  3 Sb 2.61-2.71, 2 Rh 2.87
Rh 0.8199 0.5818 0.5818  3 Sb 2.61-2.71, 2 Rh 2.87
Rh 0.8757 0.1243 0.5000  4 Sb 2.55-2.60
Rh 0.8757 0.5000 0.1243  4 Sb 2.55-2.60